ScCd2Sb at its PBEsol-relaxed geometry. Source: Alexandria, functional SCAN.

The space group is P4mm (No. 99) and the conventional cell measures 3.819, 3.819 and 6.165 Å, with angles of 90.00, 90.00 and 90.00 degrees. Symmetry generates all atoms from Sc at (0.000, 0.000, 0.000), Cd at (0.000, 0.000, 0.500), Cd at (0.500, 0.500, 0.291) and Sb at (0.500, 0.500, 0.806).

Its calculated total energy is -28.396 eV/atom. As for the raw formation energy: -0.31 eV/atom. Its density of states at the Fermi level is 2.262 states/eV/f.u.